KMnN2O: optimized geometry, GGA+U.

The structure in POSCAR format:
```
KMnN2O
1.0
-1.744 -3.551 -0.576
3.478 -1.501 -1.278
0.938 -1.080 3.822
K Mn O N
1 1 1 2
Cartesian
1.336 -3.066 0.984 K
0.000 0.000 0.000 Mn
0.469 -0.540 1.911 O
1.739 -0.751 -0.639 N
-0.872 -1.776 -0.288 N
```

The calculation puts the mass density at 3.51 Mg/m³. The total DFT energy (no corrections) comes out at -28.16 eV/cell. For the density of states at the Fermi level, the calculation gives 0.66 states/eV per atom.